*i*
Computed, not measured: a relaxed structure of SmLu2Zn at the PBE level of DFT. Values from VASP.

Its magnetization is 0.00 μB/f.u. The space group is R-3m (166).

```
&SYSTEM
  ibrav = 0, nat = 4, ntyp = 3
/
ATOMIC_SPECIES
Sm 150.36 Sm.upf
Lu 174.97 Lu.upf
Zn 65.41 Zn.upf
CELL_PARAMETERS angstrom
1.7577 1.0148 10.1896
-1.7577 1.0148 10.1896
0.0000 -2.0296 10.1896
ATOMIC_POSITIONS crystal
Sm 0.0000 0.0000 0.0000
Lu 0.2383 0.2383 0.2383
Lu 0.7617 0.7617 0.7617
Zn 0.5000 0.5000 0.5000
```

---

*ii*
Computed, not measured: a relaxed structure of SmLu2Zn at the PBE level of DFT. Values from VASP.

Its magnetization is 0.00 μB/f.u. The space group is P4/mmm (123).

```
&SYSTEM
  ibrav = 0, nat = 4, ntyp = 3
/
ATOMIC_SPECIES
Sm 150.36 Sm.upf
Lu 174.97 Lu.upf
Zn 65.41 Zn.upf
CELL_PARAMETERS angstrom
3.4986 0.0000 0.0000
0.0000 3.4986 0.0000
0.0000 0.0000 8.6602
ATOMIC_POSITIONS crystal
Sm 0.0000 0.0000 0.0000
Lu 0.5000 0.5000 0.2982
Lu 0.5000 0.5000 0.7018
Zn 0.0000 0.0000 0.5000
```

---

Which is less stable than every other structure shown? *i* is.